Record 1
The following is a DFT calculation (PBE) of a relaxed UBeB crystal.

The structure belongs to space group P6_3/mmc (No. 194); the cell edges are 3.3411, 3.3411 and 7.7627 Å and the angles 90.00°, 90.00° and 120.00°. The asymmetric unit holds U at (0.0000, 0.0000, 0.0000), Be at (0.3333, 0.6667, 0.2500) and B at (0.3333, 0.6667, 0.7500).

For the energy of formation from the pure elements, the calculation gives -1.86 kcal/mol of atoms. The crystal system is hexagonal. The volume comes out at 12.5 Å³/atom. Its energy above the lowest structure with this stoichiometry is 0.00 kcal/mol of atoms. The calculation puts the magnetic moment at 0.72 μB per formula unit.

Record 2
The following is a DFT calculation (PBE) of a relaxed DyGa12Cu6 crystal.

The structure belongs to space group R-3m (No. 166, hexagonal axes); the cell edges are 11.2835, 11.2835 and 8.7008 Å and the angles 90.00°, 90.00° and 120.00°. The asymmetric unit holds Dy at (0.0000, 0.0000, 0.0000), Ga at (0.0000, 0.3876, 0.5000), Ga at (0.0839, 0.1678, 0.3089) and Cu at (0.0508, 0.5254, 0.2362).

For the energy of formation from the pure elements, the calculation gives -1.60 kcal/mol of atoms. The crystal system is trigonal. The volume comes out at 16.8 Å³/atom. The calculation puts the magnetic moment at 0.00 μB per formula unit.

Record 3
The following is a DFT calculation (PBE) of a relaxed NpSb2Pd crystal.

The structure belongs to space group R-3m (No. 166, hexagonal axes); the cell edges are 3.2657, 3.2657 and 31.3656 Å and the angles 90.00°, 90.00° and 120.00°. The asymmetric unit holds Np at (0.0000, 0.0000, 0.0000), Sb at (0.0000, 0.0000, 0.1006) and Pd at (0.0000, 0.0000, 0.5000).

The crystal system is trigonal. Its raw formation energy is 0.123 eV/atom. The volume comes out at 24.1 Å³/atom. The calculation puts the magnetic moment at 4.50 μB per formula unit.

Record 4
The following is a DFT calculation (PBE) of a relaxed Pr2AlZn3Au4 crystal.

The structure belongs to space group P-4m2 (No. 115); the cell edges are 4.376, 4.376 and 10.884 Å and the angles 90.00°, 90.00° and 90.00°. The asymmetric unit holds Pr at (0.000, 0.500, 0.246), Al at (0.500, 0.500, 0.000), Zn at (0.000, 0.000, 0.000), Zn at (0.000, 0.500, 0.634), Au at (0.000, 0.000, 0.500), Au at (0.000, 0.500, 0.868) and Au at (0.500, 0.500, 0.500).

For the energy of formation from the pure elements, the calculation gives -13.02 kcal/mol of atoms. The crystal system is tetragonal. The volume comes out at 20.8 Å³/atom. The calculation puts the magnetic moment at 0.00 μB per formula unit.

Record 5
The following is a DFT calculation (PBE) of a relaxed LiZn5Au6 crystal.

The structure belongs to space group C2/m (No. 12); the cell edges are 7.689, 13.643 and 4.553 Å and the angles 90.00°, 126.21° and 90.00°. The asymmetric unit holds Li at (0.000, 0.000, 0.000), Zn at (0.000, 0.162, 0.500), Zn at (0.000, 0.334, 0.000), Zn at (0.000, 0.500, 0.500), Au at (0.250, 0.000, 0.749) and Au at (0.250, 0.167, 0.251).

For the energy of formation from the pure elements, the calculation gives -6.80 kcal/mol of atoms. The crystal system is monoclinic. The volume comes out at 16.1 Å³/atom. Its energy above the lowest structure with this stoichiometry is 0.00 kcal/mol of atoms. The calculation puts the magnetic moment at 0.00 μB per formula unit.

Record 6
The following is a DFT calculation (PBE) of a relaxed SmDy2HoMg crystal.

The structure belongs to space group P2_1/m (No. 11); the cell edges are 6.124, 5.583 and 9.391 Å and the angles 90.00°, 108.83° and 90.00°. The asymmetric unit holds Sm at (0.036, 0.250, 0.390), Dy at (0.376, 0.750, 0.395), Dy at (0.449, 0.250, 0.202), Ho at (0.164, 0.750, 0.998) and Mg at (0.229, 0.250, 0.805).

For the energy of formation from the pure elements, the calculation gives 0.37 kcal/mol of atoms. The crystal system is monoclinic. The volume comes out at 30.4 Å³/atom. The calculation puts the magnetic moment at 0.00 μB per formula unit.

Record 7
The following is a DFT calculation (PBE) of a relaxed LaPm5Pr2Nd crystal.

The structure belongs to space group I4/mcm (No. 140); the cell edges are 8.917, 8.917 and 16.069 Å and the angles 90.00°, 90.00° and 90.00°. The asymmetric unit holds La at (0.000, 0.000, 0.250), Pm at (0.000, 0.000, 0.000), Pm at (0.207, 0.293, 0.138), Pr at (0.119, 0.381, 0.500) and Nd at (0.000, 0.500, 0.250).

For the energy of formation from the pure elements, the calculation gives 5.50 kcal/mol of atoms. The crystal system is tetragonal. The volume comes out at 35.5 Å³/atom. The calculation puts the magnetic moment at 0.00 μB per formula unit.

Record 8
The following is a DFT calculation (PBE) of a relaxed Zr2Ag crystal.

The structure belongs to space group Cmcm (No. 63); the cell edges are 4.259, 13.635 and 4.356 Å and the angles 90.00°, 90.00° and 90.00°. The asymmetric unit holds Zr at (0.000, 0.079, 0.250), Zr at (0.000, 0.244, 0.750) and Ag at (0.000, 0.422, 0.250).

For the energy of formation from the pure elements, the calculation gives 0.67 kcal/mol of atoms. The crystal system is orthorhombic. The volume comes out at 21.1 Å³/atom. The calculation puts the magnetic moment at 0.00 μB per formula unit.

Record 9
The following is a DFT calculation (PBE) of a relaxed Np2PaSi crystal.

The structure belongs to space group P4/mmm (No. 123); the cell edges are 4.213, 4.213 and 4.451 Å and the angles 90.00°, 90.00° and 90.00°. The asymmetric unit holds Np at (0.000, 0.500, 0.000), Pa at (0.000, 0.000, 0.500) and Si at (0.500, 0.500, 0.500).

The crystal system is tetragonal. Its raw formation energy is -0.058 eV/atom. The volume comes out at 19.7 Å³/atom. The calculation puts the magnetic moment at 4.40 μB per formula unit.

Record 10
The following is a DFT calculation (PBE) of a relaxed DyGa2Ni4 crystal.

The structure belongs to space group P4_2/mnm (No. 136); the cell edges are 7.232, 7.232 and 3.842 Å and the angles 90.00°, 90.00° and 90.00°. The asymmetric unit holds Dy at (0.000, 0.000, 0.000), Ga at (0.220, 0.220, 0.500) and Ni at (0.089, 0.649, 0.500).

For the energy of formation from the pure elements, the calculation gives -10.38 kcal/mol of atoms. The crystal system is tetragonal. The volume comes out at 14.4 Å³/atom. Its energy above the lowest structure with this stoichiometry is 0.00 kcal/mol of atoms. The calculation puts the magnetic moment at 0.00 μB per formula unit.

Record 11
The following is a DFT calculation (PBE) of a relaxed Sb2Br crystal.

The structure belongs to space group P-3m1 (No. 164); the cell edges are 5.3101, 5.3101 and 3.3116 Å and the angles 90.00°, 90.00° and 120.00°. The asymmetric unit holds Sb at (0.3333, 0.6667, 0.0194) and Br at (0.0000, 0.0000, 0.5000).

The crystal system is trigonal. Its raw formation energy is 0.017 eV/atom. The volume comes out at 27.0 Å³/atom. Its energy above the lowest structure with this stoichiometry is 4.78 kcal/mol of atoms. The calculation puts the magnetic moment at 0.00 μB per formula unit.

Record 12
The following is a DFT calculation (PBE) of a relaxed Ti5NbIn4 crystal.

The structure belongs to space group P4/mmm (No. 123); the cell edges are 3.436, 3.436 and 16.010 Å and the angles 90.00°, 90.00° and 90.00°. The asymmetric unit holds Ti at (0.000, 0.000, 0.000), Ti at (0.000, 0.000, 0.197), Ti at (0.000, 0.000, 0.409), Nb at (0.500, 0.500, 0.500), In at (0.500, 0.500, 0.099) and In at (0.500, 0.500, 0.305).

For the energy of formation from the pure elements, the calculation gives -2.00 kcal/mol of atoms. The crystal system is tetragonal. The volume comes out at 18.9 Å³/atom. The calculation puts the magnetic moment at 0.02 μB per formula unit.